Record 1
# GdCd2

Crystalline GdCd2 at its relaxed geometry (GGA-PBE, the Alexandria database).

Results
Its formation enthalpy at 0 K is -7.918 kcal/mol of atoms. Its space group is No. 191.

Cell: 3.4369 5.0070 5.0070 Å, 120.00 90.00 90.00°
With the nearest neighbours (Å) after each atom.
Fractional coordinates of all 3 atoms:
1 Gd 0.5000 0.0000 0.0000  12 Cd 3.36, 2 Gd 3.44
2 Cd 0.0000 0.3333 0.6667  3 Cd 2.89
3 Cd 0.0000 0.6667 0.3333  3 Cd 2.89

=====

Record 2
# ZrTl2Tc

Crystalline ZrTl2Tc at its relaxed geometry (GGA-PBE, the Alexandria database).

Results
Its relative energy among the computed polymorphs is 18.8 kJ/mol of atoms. Its formation enthalpy at 0 K is 9.880 kcal/mol of atoms. Its space group is No. 47.

Cell: 3.1372 4.3298 6.1508 Å, 90.00 90.00 90.00°
With the nearest neighbours (Å) after each atom.
Fractional coordinates of all 4 atoms:
1 Tc 0.5000 0.5000 0.7500  8 Tl 3.05, 2 Zr 3.08, 2 Tc 3.14
2 Tl 0.0000 0.0000 0.9876  4 Tl 2.92-3.23, 4 Tc 3.05, 4 Zr 3.12
3 Tl 0.0000 0.0000 0.5124  4 Tl 2.92-3.23, 4 Tc 3.05, 4 Zr 3.12
4 Zr 0.5000 0.5000 0.2500  2 Tc 3.08, 8 Tl 3.12, 2 Zr 3.14

=====

Record 3
# La2Pr2Dy2Y

Crystalline La2Pr2Dy2Y at its relaxed geometry (GGA-PBE, the Alexandria database).

Results
Its formation enthalpy at 0 K is 0.525 kcal/mol of atoms. Its space group is No. 12.

Cell: 5.1735 6.3147 8.2052 Å, 97.41 90.00 114.18°
With the nearest neighbours (Å) after each atom.
Fractional coordinates of all 7 atoms:
1 La 0.1422 0.2844 0.4265  5 Dy 3.64-3.68, 1 Y 3.65, 3 La 3.65-3.67, 3 Pr 3.66-3.69
2 La 0.8578 0.7156 0.5735  5 Dy 3.64-3.68, 1 Y 3.65, 3 La 3.65-3.67, 3 Pr 3.66-3.69
3 Pr 0.7145 0.4289 0.1413  3 Y 3.64-3.65, 4 Dy 3.64-3.66, 2 Pr 3.64, 3 La 3.66-3.69
4 Pr 0.2855 0.5711 0.8587  3 Y 3.64-3.65, 4 Dy 3.64-3.66, 2 Pr 3.64, 3 La 3.66-3.69
5 Dy 0.5704 0.1409 0.7150  5 La 3.64-3.68, 4 Pr 3.64-3.66, 2 Y 3.65, 1 Dy 3.67
6 Dy 0.4296 0.8591 0.2850  5 La 3.64-3.68, 4 Pr 3.64-3.66, 2 Y 3.65, 1 Dy 3.67
7 Y 0.0000 0.0000 0.0000  6 Pr 3.64-3.65, 2 La 3.65, 4 Dy 3.65

=====

Record 4
# Nb2AlC

Crystalline Nb2AlC at its relaxed geometry (GGA-PBE, the Alexandria database).

Results
Its relative energy among the computed polymorphs is 132.4 kJ/mol of atoms. Its formation enthalpy at 0 K is 19.594 kcal/mol of atoms. Its space group is No. 225.

Cell: 4.3347 4.3347 4.3347 Å, 60.00 60.00 60.00°
With the nearest neighbours (Å) after each atom.
Fractional coordinates of all 4 atoms:
1 C 0.0000 0.0000 0.0000  8 Nb 2.65
2 Nb 0.2500 0.2500 0.2500  4 Al 2.65, 4 C 2.65
3 Nb 0.7500 0.7500 0.7500  4 Al 2.65, 4 C 2.65
4 Al 0.5000 0.5000 0.5000  8 Nb 2.65

=====

Record 5
# BaBeP2

Crystalline BaBeP2 at its relaxed geometry (GGA-PBE, the Alexandria database).

Results
Its relative energy among the computed polymorphs is 23.6 kJ/mol of atoms. Its formation enthalpy at 0 K is -8.016 kcal/mol of atoms. Its space group is No. 71.

Cell: 5.2350 5.2350 5.2350 Å, 137.23 102.63 92.71°
With the nearest neighbours (Å) after each atom.
Fractional coordinates of all 4 atoms:
1 P 0.0935 0.0935 0.0000  2 Be 2.22, 1 P 2.26
2 P 0.4065 0.4065 0.0000  2 Be 2.22, 1 P 2.26
3 Ba 0.7500 0.2500 0.5000  8 P 3.13-3.46
4 Be 0.2500 0.7500 0.5000  4 P 2.22

=====

Record 6
# Np2SiS5

Crystalline Np2SiS5 at its relaxed geometry (GGA-PBE, the Alexandria database).

Results
As for the raw formation energy: -7.2 eV per formula unit. Its space group is No. 63.

Cell: 5.2121 6.8059 12.8349 Å, 90.00 90.00 112.51°
With the nearest neighbours (Å) after each atom.
Fractional coordinates of all 16 atoms:
1 Np 0.8497 0.6995 0.4323  6 S 2.64-2.78
2 Np 0.8497 0.6995 0.0677  6 S 2.64-2.78
3 Np 0.1503 0.3005 0.5677  6 S 2.64-2.78
4 Np 0.1503 0.3005 0.9323  6 S 2.64-2.78
5 Si 0.8231 0.6463 0.7500  2 S 2.27
6 Si 0.1769 0.3537 0.2500  2 S 2.27
7 S 0.9450 0.8899 0.8806  1 Si 2.27
8 S 0.9450 0.8899 0.6194  1 Si 2.27
9 S 0.3182 0.6364 0.4388  3 Np 2.64-2.68
10 S 0.3182 0.6364 0.0612  3 Np 2.64-2.68
11 S 0.7306 0.4612 0.2500  2 Si 2.69, 2 Np 2.78
12 S 0.2694 0.5388 0.7500  2 Si 2.69, 2 Np 2.78
13 S 0.6818 0.3636 0.5612  3 Np 2.64-2.68
14 S 0.6818 0.3636 0.9388  3 Np 2.64-2.68
15 S 0.0550 0.1101 0.1194  1 Si 2.27
16 S 0.0550 0.1101 0.3806  1 Si 2.27

=====

Record 7
# La6CeDyTm2

Crystalline La6CeDyTm2 at its relaxed geometry (GGA-PBE, the Alexandria database).

Results
Its formation enthalpy at 0 K is 5.156 kcal/mol of atoms. Its space group is No. 12.

Cell: 9.0633 6.9070 6.9507 Å, 119.79 107.78 90.00°
With the nearest neighbours (Å) after each atom.
Fractional coordinates of all 10 atoms:
1 La 0.4226 0.6668 0.3337  1 Ce 3.65, 3 Tm 3.71-4.02, 1 Dy 3.83, 8 La 3.94-3.99
2 La 0.1947 0.1136 0.7106  1 Dy 3.24, 1 Ce 3.33, 3 La 3.34-3.57, 2 Tm 3.45-3.50
3 La 0.8053 0.4030 0.2894  1 Dy 3.24, 1 Ce 3.33, 3 La 3.34-3.57, 2 Tm 3.45-3.50
4 La 0.1947 0.5970 0.7106  1 Dy 3.24, 1 Ce 3.33, 3 La 3.34-3.57, 2 Tm 3.45-3.50
5 La 0.8053 0.8864 0.2894  1 Dy 3.24, 1 Ce 3.33, 3 La 3.34-3.57, 2 Tm 3.45-3.50
6 La 0.5774 0.3332 0.6663  1 Ce 3.65, 3 Tm 3.71-4.02, 1 Dy 3.83, 8 La 3.94-3.99
7 Ce 0.0000 0.5000 0.0000  6 La 3.33-3.65
8 Dy 0.5000 0.0000 0.0000  4 La 3.24, 2 Tm 3.52
9 Tm 0.1791 0.1008 0.2015  1 Tm 3.30, 4 La 3.45-3.50, 1 Dy 3.52
10 Tm 0.8209 0.8992 0.7985  1 Tm 3.30, 4 La 3.45-3.50, 1 Dy 3.52

=====

Record 8
# Cs2PaTi3O12

Crystalline Cs2PaTi3O12 at its relaxed geometry (GGA-PBE, the Alexandria database).

Results
As for the raw formation energy: -41.0 eV per formula unit. Its space group is No. 166.

Cell: 7.5643 7.5643 7.5643 Å, 59.14 59.14 59.14°
With the nearest neighbours (Å) after each atom.
Fractional coordinates of all 18 atoms:
1 Cs 0.6203 0.6203 0.6203  6 O 3.24-3.38
2 Cs 0.3797 0.3797 0.3797  6 O 3.24-3.38
3 Pa 0.0000 0.0000 0.0000  6 O 2.14
4 Ti 0.5000 0.0000 0.0000  6 O 1.95-1.97
5 Ti 0.0000 0.5000 0.0000  6 O 1.95-1.97
6 Ti 0.0000 0.0000 0.5000  6 O 1.95-1.97
7 O 0.3023 0.3023 0.9369  2 Ti 1.95
8 O 0.9243 0.9243 0.3403  1 Ti 1.97, 1 Pa 2.14
9 O 0.3403 0.9243 0.9243  1 Ti 1.97, 1 Pa 2.14
10 O 0.9369 0.3023 0.3023  2 Ti 1.95
11 O 0.9243 0.3403 0.9243  1 Ti 1.97, 1 Pa 2.14
12 O 0.3023 0.9369 0.3023  2 Ti 1.95
13 O 0.6977 0.6977 0.0631  2 Ti 1.95
14 O 0.0757 0.0757 0.6597  1 Ti 1.97, 1 Pa 2.14
15 O 0.6597 0.0757 0.0757  1 Ti 1.97, 1 Pa 2.14
16 O 0.0631 0.6977 0.6977  2 Ti 1.95
17 O 0.0757 0.6597 0.0757  1 Ti 1.97, 1 Pa 2.14
18 O 0.6977 0.0631 0.6977  2 Ti 1.95

=====

Ordered calculated total energy results: -5.65 -5.48 -4.99 -7.43 -4.46 -7.39 -4.68 -7.52; unit eV/atom.
Ordered V results: 24.87 20.89 34.58 14.40 22.57 26.29 35.35 16.67; unit A^3/atom.